Below is an optimized crystal structure of ErLu2Tl, with properties calculated at the PBE level.

- total magnetic moment (Bohr magnetons per cell) = 0.4
- DOS(E_F) (states/eV per cell) = 5.0
- energy of formation (eV/atom) = -0.151

a b c (Å): 4.7826 4.7826 4.7677
angles (deg): 90.00 90.00 90.00
Closest atoms and distances in Å follow each position.
Space group P4/mmm (No. 123)
Inequivalent atoms, fractional coordinates:
Er: 0.0000 0.0000 0.0000  8 Lu 3.38, 4 Tl 3.38
Lu: 0.0000 0.5000 0.5000  4 Tl 3.38, 4 Er 3.38, 4 Lu 3.38
Tl: 0.5000 0.5000 0.0000  8 Lu 3.38, 4 Er 3.38